Density functional theory data (GGA-PBE) for a relaxed structure of BaZn2GeC.

The formation energy from the elements is 2.16 eV per atom. The volume comes out at 272.6 Å³/cell.

It has space group P4/mmm (No. 123), with a = 6.683 Å, b = 6.683 Å, c = 6.104 Å, α = 90.00°, β = 90.00° and γ = 90.00°. The distinct sites, in fractional coordinates, are Ba at (0.000, 0.000, 0.000), Zn at (0.000, 0.500, 0.000), Ge at (0.000, 0.000, 0.500) and C at (0.500, 0.500, 0.500).